# 1
This record from the Alexandria database describes a relaxed KMoIr2 crystal. The functional is PBE.

a = 7.4724 Å, b = 7.4724 Å, c = 6.1066 Å
α = 90.00°, β = 90.00°, γ = 90.00°
Last column: nearest neighbours and their distance in Å.
Space group I-42d (No. 122)
Unique sites:
1 K 0.0000 0.0000 0.0000 x4  2 Mo 3.05, 8 Ir 3.10-3.26
2 Mo 0.0000 0.0000 0.5000 x4  4 Ir 2.44
3 Ir 0.1842 0.2500 0.6250 x8  2 Mo 2.44

Summary:
- size of the total moment (μB per cell) = 0.0
- VASP energy (eV per cell) = -102.96
- energy of formation (eV per atom) = 0.978

# 2
This record from the Alexandria database describes a relaxed KMoIr2 crystal. The functional is PBE.

a = 2.7786 Å, b = 4.9431 Å, c = 5.0072 Å
α = 90.00°, β = 90.00°, γ = 90.00°
Last column: nearest neighbours and their distance in Å.
Space group Pmmm (No. 47)
Unique sites:
1 K 0.0000 0.0000 0.0000 x1  2 K 2.78, 4 Ir 2.84, 4 Mo 2.86
2 Mo 0.5000 0.0000 0.5000 x1  2 Mo 2.78, 4 Ir 2.84, 4 K 2.86
3 Ir 0.0000 0.5000 0.5000 x1  6 Ir 2.78-2.86, 4 Mo 2.84
4 Ir 0.5000 0.5000 0.0000 x1  6 Ir 2.78-2.86, 4 K 2.84

Summary:
- size of the total moment (μB per cell) = 1.1
- VASP energy (eV per cell) = -24.66
- energy of formation (eV per atom) = 1.247

# 3
This record from the Alexandria database describes a relaxed K2MoIr crystal. The functional is PBE.

a = 3.1954 Å, b = 3.9864 Å, c = 20.4400 Å
α = 90.00°, β = 90.00°, γ = 90.00°
Last column: nearest neighbours and their distance in Å.
Space group Immm (No. 71)
Unique sites:
1 K 0.0000 0.0000 0.1460 x4  2 K 3.20, 2 Ir 3.39
2 Mo 0.0000 0.5000 0.0000 x2  4 Ir 2.55
3 Ir 0.0000 0.5000 0.5000 x2  4 Mo 2.55

Summary:
- size of the total moment (μB per cell) = 1.8
- VASP energy (eV per cell) = -38.88
- energy of formation (eV per atom) = 0.611

# 4
This record from the Alexandria database describes a relaxed KMoIr2 crystal. The functional is PBE.

a = 2.7035 Å, b = 5.1085 Å, c = 10.7248 Å
α = 90.00°, β = 90.00°, γ = 90.00°
Last column: nearest neighbours and their distance in Å.
Space group Imm2 (No. 44)
Unique sites:
1 K 0.0000 0.0000 0.0000 x2  2 K 2.70, 4 Ir 2.89
2 Mo 0.0000 0.5000 0.7923 x2  2 Ir 2.62, 2 Mo 2.70
3 Ir 0.0000 0.0000 0.5014 x2  2 Mo 2.62, 4 Ir 2.66-2.70, 4 K 2.89
4 Ir 0.0000 0.5000 0.2151 x2  4 Ir 2.66-2.70

Summary:
- size of the total moment (μB per cell) = 0.0
- VASP energy (eV per cell) = -53.65
- energy of formation (eV per atom) = 0.706